(1)
Computed, not measured: Na2Pr3TmTe6 after structural relaxation at the PBE-GGA level of DFT.

Computed properties:
formation energy without anion corrections: -16.1 eV per formula unit
mass density: 6.04 g/cm³

Unit cell a=7.7667 b=7.7667 c=7.8138 alpha=99.49 beta=99.49 gamma=119.94
Sites, in units of the cell vectors:
Na 0.3353 0.6647 0.0000
Na 0.6647 0.3353 0.0000
Pr 0.1715 0.8285 0.5000
Pr 0.8285 0.1715 0.5000
Pr 0.5000 0.5000 0.5000
Tm 0.0000 0.0000 0.0000
Te 0.9208 0.5955 0.7616
Te 0.7583 0.7583 0.2454
Te 0.0792 0.4045 0.2384
Te 0.5955 0.9208 0.7616
Te 0.2417 0.2417 0.7546
Te 0.4045 0.0792 0.2384



(2)
Computed, not measured: Na3Pr2TmTe6 after structural relaxation at the PBE-GGA level of DFT.

Computed properties:
formation energy without anion corrections: -15.8 eV per formula unit
mass density: 5.32 g/cm³

Unit cell a=7.8219 b=7.8219 c=8.0140 alpha=99.39 beta=99.39 gamma=120.01
Sites, in units of the cell vectors:
Na 0.1699 0.8301 0.5000
Na 0.8301 0.1699 0.5000
Na 0.5000 0.5000 0.5000
Pr 0.3338 0.6662 0.0000
Pr 0.6662 0.3338 0.0000
Tm 0.0000 0.0000 0.0000
Te 0.9213 0.5996 0.7633
Te 0.7579 0.7579 0.2365
Te 0.0787 0.4004 0.2367
Te 0.5996 0.9213 0.7633
Te 0.2421 0.2421 0.7635
Te 0.4004 0.0787 0.2367



(3)
Computed, not measured: Na3Pr3UTe8 after structural relaxation at the PBE-GGA level of DFT.

Computed properties:
formation energy without anion corrections: -17.6 eV per formula unit
mass density: 5.35 g/cm³

Unit cell a=9.0936 b=9.0933 c=9.2338 alpha=119.52 beta=90.00 gamma=120.00
Sites, in units of the cell vectors:
Na 0.0000 0.0000 0.0000
Na 0.0000 0.5000 0.0000
Na 0.5000 0.5000 0.0000
Pr 0.5000 0.0000 0.5000
Pr 0.5000 0.5000 0.5000
Pr 0.0000 0.5000 0.5000
U 0.0000 0.0000 0.5000
Te 0.2525 0.5049 0.2575
Te 0.7475 0.4951 0.7425
Te 0.7613 0.5225 0.2678
Te 0.2387 0.4775 0.7322
Te 0.7613 0.0064 0.2678
Te 0.2387 0.9936 0.7322
Te 0.2451 0.0064 0.2678
Te 0.7549 0.9936 0.7322



(4)
Computed, not measured: Na4Pr3UTe8 after structural relaxation at the PBE-GGA level of DFT.

Computed properties:
formation energy without anion corrections: -18.9 eV per formula unit
mass density: 5.43 g/cm³

Unit cell a=9.1009 b=9.2134 c=9.1012 alpha=119.62 beta=120.00 gamma=90.00
Sites, in units of the cell vectors:
Na 0.5000 0.0000 0.0000
Na 0.5000 0.0000 0.5000
Na 0.0000 0.0000 0.0000
Na 0.0000 0.0000 0.5000
Pr 0.5000 0.5000 0.0000
Pr 0.5000 0.5000 0.5000
Pr 0.0000 0.5000 0.5000
U 0.0000 0.5000 0.0000
Te 0.2437 0.7393 0.9957
Te 0.2437 0.7393 0.4875
Te 0.2523 0.2571 0.5046
Te 0.7520 0.7393 0.9957
Te 0.2480 0.2607 0.0043
Te 0.7477 0.7429 0.4954
Te 0.7563 0.2607 0.5125
Te 0.7563 0.2607 0.0043



(5)
Computed, not measured: Na3PrY2Te6 after structural relaxation at the PBE-GGA level of DFT.

Computed properties:
formation energy without anion corrections: -15.9 eV per formula unit
mass density: 4.85 g/cm³

Unit cell a=7.7613 b=7.7613 c=8.0023 alpha=99.32 beta=99.32 gamma=120.01
Sites, in units of the cell vectors:
Na 0.1641 0.8359 0.5000
Na 0.8359 0.1641 0.5000
Na 0.5000 0.5000 0.5000
Pr 0.0000 0.0000 0.0000
Y 0.3329 0.6671 0.0000
Y 0.6671 0.3329 0.0000
Te 0.9214 0.5793 0.7648
Te 0.7360 0.7360 0.2350
Te 0.0786 0.4207 0.2352
Te 0.5793 0.9214 0.7648
Te 0.2640 0.2640 0.7650
Te 0.4207 0.0786 0.2352



(6)
Computed, not measured: NaPrY2Te4 after structural relaxation at the PBE-GGA level of DFT.

Computed properties:
formation energy without anion corrections: -10.9 eV per formula unit
mass density: 5.67 g/cm³

Unit cell a=4.4017 b=7.7198 c=7.7578 alpha=108.84 beta=90.00 gamma=90.00
Sites, in units of the cell vectors:
Na 0.0000 0.0000 0.0000
Pr 0.5000 0.5000 0.0000
Y 0.5000 0.0000 0.5000
Y 0.0000 0.5000 0.5000
Te 0.5000 0.2511 0.2598
Te 0.5000 0.7489 0.7402
Te 0.0000 0.2425 0.7400
Te 0.0000 0.7575 0.2600



(7)
Computed, not measured: NaPr3Y2Te6 after structural relaxation at the PBE-GGA level of DFT.

Computed properties:
formation energy without anion corrections: -16.5 eV per formula unit
mass density: 6.07 g/cm³

Unit cell a=4.4504 b=8.9924 c=10.0244 alpha=103.27 beta=102.83 gamma=90.00
Sites, in units of the cell vectors:
Na 0.5000 0.0000 0.0000
Pr 0.5000 0.5000 0.0000
Pr 0.8392 0.1767 0.6784
Pr 0.1608 0.8233 0.3216
Y 0.8342 0.6614 0.6685
Y 0.1658 0.3386 0.3315
Te 0.3320 0.9084 0.6639
Te 0.6697 0.5762 0.3395
Te 0.6680 0.0916 0.3361
Te 0.0054 0.2454 0.0109
Te 0.9946 0.7546 0.9891
Te 0.3303 0.4238 0.6605



(8)
Computed, not measured: Na2PrZrTe4 after structural relaxation at the PBE-GGA level of DFT.

Computed properties:
formation energy without anion corrections: -8.7 eV per formula unit
mass density: 5.22 g/cm³

Unit cell a=4.3117 b=7.5599 c=8.0871 alpha=107.78 beta=90.00 gamma=90.00
Sites, in units of the cell vectors:
Na 0.5000 0.0000 0.5000
Na 0.0000 0.5000 0.5000
Pr 0.0000 0.0000 0.0000
Zr 0.5000 0.5000 0.0000
Te 0.5000 0.2657 0.2385
Te 0.5000 0.7343 0.7615
Te 0.0000 0.2752 0.7721
Te 0.0000 0.7248 0.2279



(9)
Computed, not measured: Na3Pr3ZrTe8 after structural relaxation at the PBE-GGA level of DFT.

Computed properties:
formation energy without anion corrections: -18.2 eV per formula unit
mass density: 4.98 g/cm³

Unit cell a=8.9774 b=8.9772 c=9.2516 alpha=119.04 beta=90.00 gamma=120.00
Sites, in units of the cell vectors:
Na 0.0000 0.0000 0.0000
Na 0.0000 0.5000 0.0000
Na 0.5000 0.5000 0.0000
Pr 0.5000 0.0000 0.5000
Pr 0.5000 0.5000 0.5000
Pr 0.0000 0.5000 0.5000
Zr 0.0000 0.0000 0.5000
Te 0.2522 0.5044 0.2568
Te 0.7478 0.4956 0.7432
Te 0.7690 0.5380 0.2728
Te 0.2310 0.4620 0.7272
Te 0.7690 0.0037 0.2728
Te 0.2310 0.9963 0.7272
Te 0.2347 0.0037 0.2728
Te 0.7653 0.9963 0.7272



(10)
Computed, not measured: NaPrTh after structural relaxation at the PBE-GGA level of DFT.

Computed properties:
mass density: 6.16 g/cm³
DFT formation energy: 493 meV/atom
offset from the most stable computed form: 0.324 eV/atom

Unit cell a=6.7209 b=6.6016 c=6.5188 alpha=74.79 beta=58.97 gamma=59.40
Sites, in units of the cell vectors:
Th 0.7500 0.5000 0.5000
Th 0.2500 0.5000 0.5000
Na 0.8697 0.2606 0.0000
Na 0.1303 0.7394 0.0000
Pr 0.6619 0.0000 0.6763
Pr 0.3381 0.0000 0.3237



(11)
Computed, not measured: NaPrTh after structural relaxation at the PBE-GGA level of DFT.

Computed properties:
mass density: 6.33 g/cm³
DFT formation energy: 168 meV/atom
offset from the most stable computed form: 0.000 eV/atom

Unit cell a=3.5667 b=3.5667 c=9.4314 alpha=90.00 beta=90.00 gamma=120.00
Sites, in units of the cell vectors:
Pr 0.6667 0.3333 0.3461
Na 0.0000 0.0000 0.9987
Th 0.3333 0.6667 0.6551



(12)
Computed, not measured: Na2Pr2Tl3 after structural relaxation at the PBE-GGA level of DFT.

Computed properties:
mass density: 7.22 g/cm³
DFT formation energy: -228 meV/atom

Unit cell a=3.6489 b=3.6048 c=16.5600 alpha=90.00 beta=83.67 gamma=90.00
Sites, in units of the cell vectors:
Na 0.7017 0.5000 0.5967
Na 0.2983 0.5000 0.4033
Pr 0.5683 0.5000 0.8634
Pr 0.4317 0.5000 0.1366
Tl 0.8611 0.0000 0.2777
Tl 0.0000 0.0000 0.0000
Tl 0.1389 0.0000 0.7223



(13)
Computed, not measured: Na2PrTl after structural relaxation at the PBE-GGA level of DFT.

Computed properties:
mass density: 4.90 g/cm³
DFT formation energy: 118 meV/atom

Unit cell a=3.4864 b=3.4864 c=12.7666 alpha=82.15 beta=82.15 gamma=60.00
Sites, in units of the cell vectors:
Pr 0.0000 0.0000 0.0000
Na 0.0918 0.0918 0.7247
Na 0.9082 0.9082 0.2753
Tl 0.5000 0.5000 0.5000



(14)
Computed, not measured: NaPr7Tl4 after structural relaxation at the PBE-GGA level of DFT.

Computed properties:
mass density: 7.58 g/cm³
DFT formation energy: -63 meV/atom

Unit cell a=5.9665 b=9.5832 c=8.0625 alpha=73.82 beta=68.28 gamma=71.86
Sites, in units of the cell vectors:
Na 0.0000 0.0000 0.0000
Pr 0.7995 0.8816 0.5194
Pr 0.2005 0.1184 0.4806
Pr 0.0616 0.6089 0.2679
Pr 0.9384 0.3911 0.7321
Pr 0.2772 0.6564 0.7893
Pr 0.5000 0.0000 0.0000
Pr 0.7228 0.3436 0.2107
Tl 0.5589 0.2494 0.6328
Tl 0.4411 0.7506 0.3672
Tl 0.6884 0.6703 0.9528
Tl 0.3116 0.3297 0.0472



(15)
Computed, not measured: NaPrTl2 after structural relaxation at the PBE-GGA level of DFT.

Computed properties:
mass density: 8.28 g/cm³
DFT formation energy: -272 meV/atom
offset from the most stable computed form: 0.007 eV/atom

Unit cell a=5.4558 b=5.4558 c=5.4558 alpha=60.00 beta=60.00 gamma=60.00
Sites, in units of the cell vectors:
Pr 0.0000 0.0000 0.0000
Na 0.5000 0.5000 0.5000
Tl 0.2500 0.2500 0.2500
Tl 0.7500 0.7500 0.7500



(16)
Computed, not measured: Na2PrTl3 after structural relaxation at the PBE-GGA level of DFT.

Computed properties:
mass density: 7.63 g/cm³
DFT formation energy: -199 meV/atom

Unit cell a=3.8010 b=5.4971 c=8.7776 alpha=108.25 beta=90.00 gamma=90.00
Sites, in units of the cell vectors:
Na 0.0000 0.3303 0.6607
Na 0.0000 0.6697 0.3393
Pr 0.0000 0.0000 0.0000
Tl 0.5000 0.5000 0.0000
Tl 0.5000 0.8309 0.6617
Tl 0.5000 0.1691 0.3383



(17)
Computed, not measured: NaPrTl3 after structural relaxation at the PBE-GGA level of DFT.

Computed properties:
mass density: 8.69 g/cm³
DFT formation energy: -161 meV/atom

Unit cell a=6.5668 b=5.1754 c=11.5074 alpha=103.00 beta=127.62 gamma=90.00
Sites, in units of the cell vectors:
Na 0.4759 0.2044 0.4087
Na 0.5241 0.7956 0.5913
Pr 0.1346 0.4115 0.8230
Pr 0.8654 0.5885 0.1770
Tl 0.6989 0.9775 0.9551
Tl 0.3011 0.0225 0.0449
Tl 0.4252 0.6204 0.2408
Tl 0.5748 0.3796 0.7592
Tl 0.0171 0.7952 0.5905
Tl 0.9829 0.2048 0.4095



(18)
Computed, not measured: NaPr3Tl3 after structural relaxation at the PBE-GGA level of DFT.

Computed properties:
mass density: 7.85 g/cm³
DFT formation energy: -192 meV/atom

Unit cell a=7.4371 b=7.4371 c=8.7747 alpha=92.28 beta=92.28 gamma=112.34
Sites, in units of the cell vectors:
Na 0.6912 0.6912 0.0238
Na 0.3088 0.3088 0.9762
Pr 0.6665 0.6665 0.4129
Pr 0.1965 0.8035 0.5000
Pr 0.8035 0.1965 0.5000
Pr 0.2097 0.7903 0.0000
Pr 0.7903 0.2097 0.0000
Pr 0.3335 0.3335 0.5871
Tl 0.0141 0.0141 0.2431
Tl 0.8342 0.5337 0.7420
Tl 0.5337 0.8342 0.7420
Tl 0.1658 0.4663 0.2580
Tl 0.4663 0.1658 0.2580
Tl 0.9859 0.9859 0.7569



(19)
Computed, not measured: NaPrTl2 after structural relaxation at the PBE-GGA level of DFT.

Computed properties:
mass density: 7.74 g/cm³
DFT formation energy: -104 meV/atom
offset from the most stable computed form: 0.176 eV/atom

Unit cell a=3.6417 b=3.6417 c=10.9037 alpha=80.39 beta=80.39 gamma=60.00
Sites, in units of the cell vectors:
Na 0.4999 0.4999 0.5002
Pr 0.6667 0.6667 0.9999
Tl 0.0855 0.0855 0.7434
Tl 0.2478 0.2478 0.2565



(20)
Computed, not measured: NaPr2Tl after structural relaxation at the PBE-GGA level of DFT.

Computed properties:
mass density: 6.82 g/cm³
DFT formation energy: -95 meV/atom
offset from the most stable computed form: 0.015 eV/atom

Unit cell a=4.5242 b=5.2331 c=5.2331 alpha=90.00 beta=90.00 gamma=90.00
Sites, in units of the cell vectors:
Pr 0.0000 0.0000 0.5000
Pr 0.0000 0.5000 0.0000
Na 0.5000 0.0000 0.0000
Tl 0.5000 0.5000 0.5000



(21)
Computed, not measured: NaPr2Tl after structural relaxation at the PBE-GGA level of DFT.

Computed properties:
mass density: 6.46 g/cm³
DFT formation energy: -69 meV/atom
offset from the most stable computed form: 0.040 eV/atom

Unit cell a=3.8656 b=3.8656 c=8.7635 alpha=90.00 beta=90.00 gamma=90.00
Sites, in units of the cell vectors:
Pr 0.0000 0.0000 0.7236
Pr 0.0000 0.0000 0.2764
Na 0.5000 0.5000 0.0000
Tl 0.5000 0.5000 0.5000



(22)
Computed, not measured: NaPr2Tl8 after structural relaxation at the PBE-GGA level of DFT.

Computed properties:
mass density: 10.00 g/cm³
DFT formation energy: -195 meV/atom

Unit cell a=4.9724 b=4.9724 c=13.0253 alpha=90.00 beta=90.00 gamma=90.00
Sites, in units of the cell vectors:
Na 0.0000 0.0000 0.0000
Pr 0.0000 0.0000 0.3222
Pr 0.0000 0.0000 0.6778
Tl 0.0000 0.5000 0.5000
Tl 0.5000 0.0000 0.5000
Tl 0.5000 0.5000 0.3175
Tl 0.5000 0.5000 0.6825
Tl 0.0000 0.5000 0.1406
Tl 0.5000 0.0000 0.1406
Tl 0.0000 0.5000 0.8594
Tl 0.5000 0.0000 0.8594



(23)
Computed, not measured: NaPr2Tl6 after structural relaxation at the PBE-GGA level of DFT.

Computed properties:
mass density: 9.38 g/cm³
DFT formation energy: -140 meV/atom

Unit cell a=3.6531 b=8.8835 c=9.4603 alpha=118.00 beta=90.00 gamma=90.00
Sites, in units of the cell vectors:
Na 0.0000 0.0000 0.0000
Pr 0.5000 0.6922 0.3845
Pr 0.5000 0.3078 0.6155
Tl 0.0000 0.3422 0.3164
Tl 0.0000 0.0258 0.6836
Tl 0.0000 0.6578 0.6836
Tl 0.5000 0.3199 0.0000
Tl 0.0000 0.9742 0.3164
Tl 0.5000 0.6801 0.0000



(24)
Computed, not measured: NaPrTl2 after structural relaxation at the PBE-GGA level of DFT.

Computed properties:
mass density: 8.15 g/cm³
DFT formation energy: -279 meV/atom
offset from the most stable computed form: 0.000 eV/atom

Unit cell a=4.0117 b=5.3946 c=5.3946 alpha=90.00 beta=90.00 gamma=90.00
Sites, in units of the cell vectors:
Pr 0.5000 0.0000 0.0000
Na 0.5000 0.5000 0.5000
Tl 0.0000 0.0000 0.5000
Tl 0.0000 0.5000 0.0000